Material: ScUPa
Method: DFT, PBE
State: optimized geometry

```
data_ScUPa
_chemical_formula_sum 'Sc1 U1 Pa1'
_cell_length_a 5.0801
_cell_length_b 5.0801
_cell_length_c 2.9783
_cell_angle_alpha 90.00
_cell_angle_beta 90.00
_cell_angle_gamma 120.00
_symmetry_space_group_name_H-M 'P -6 m 2'
_symmetry_Int_Tables_number 187
_symmetry_space_group_name_Hall 'P -6 2'
loop_
_atom_site_label
_atom_site_type_symbol
_atom_site_fract_x
_atom_site_fract_y
_atom_site_fract_z
_atom_site_occupancy
Sc1 Sc 0.0000 0.0000 0.0000 1
U1 U 0.6667 0.3333 0.5000 1
Pa1 Pa 0.3333 0.6667 0.5000 1
```

## Properties
Excess energy over the best structure of this formula in the dataset (meV per atom): 0
Energy of formation (eV/f.u.): 0.62
Uncorrected energy (eV/atom): -8.831

=====

Material: ScUPa
Method: DFT, PBE
State: optimized geometry

```
data_ScUPa
_chemical_formula_sum 'Sc4 U4 Pa4'
_cell_length_a 3.257
_cell_length_b 3.257
_cell_length_c 27.894
_cell_angle_alpha 90.00
_cell_angle_beta 90.00
_cell_angle_gamma 90.00
_symmetry_space_group_name_H-M 'I 4/m m m'
_symmetry_Int_Tables_number 139
_symmetry_space_group_name_Hall '-I 4 2'
loop_
_atom_site_label
_atom_site_type_symbol
_atom_site_fract_x
_atom_site_fract_y
_atom_site_fract_z
_atom_site_occupancy
Sc1 Sc 0.000 0.000 0.058 1
U1 U 0.000 0.000 0.220 1
Pa1 Pa 0.000 0.000 0.359 1
```

## Properties
Excess energy over the best structure of this formula in the dataset (meV per atom): 46
Energy of formation (eV/f.u.): 0.76
Uncorrected energy (eV/atom): -8.785

=====

Material: ScPaV
Method: DFT, PBE
State: optimized geometry

```
data_ScPaV
_chemical_formula_sum 'Sc6 Pa6 V6'
_cell_length_a 5.020
_cell_length_b 11.380
_cell_length_c 6.560
_cell_angle_alpha 90.00
_cell_angle_beta 90.00
_cell_angle_gamma 90.00
_symmetry_space_group_name_H-M 'A m m 2'
_symmetry_Int_Tables_number 38
loop_
_symmetry_equiv_pos_as_xyz
'x,y,z'
'-x,-y,z'
'-x,y,z'
'x,-y,z'
'x,y+1/2,z+1/2'
'-x,-y+1/2,z+1/2'
'-x,y+1/2,z+1/2'
'x,-y+1/2,z+1/2'
loop_
_atom_site_label
_atom_site_type_symbol
_atom_site_fract_x
_atom_site_fract_y
_atom_site_fract_z
_atom_site_occupancy
Sc1 Sc 0.000 0.000 0.000 1
Sc2 Sc 0.000 0.238 0.288 1
Pa1 Pa 0.000 0.000 0.524 1
Pa2 Pa 0.500 0.167 0.026 1
V1 V 0.500 0.000 0.296 1
V2 V 0.500 0.116 0.644 1
```

## Properties
Excess energy over the best structure of this formula in the dataset (meV per atom): 85
Energy of formation (eV/f.u.): 0.87
Uncorrected energy (eV/atom): -8.027

=====

Material: ScPaV2
Method: DFT, PBE
State: optimized geometry

```
data_ScPaV2
_chemical_formula_sum 'Sc1 Pa1 V2'
_cell_length_a 4.751
_cell_length_b 4.751
_cell_length_c 3.390
_cell_angle_alpha 90.00
_cell_angle_beta 90.00
_cell_angle_gamma 90.00
_symmetry_space_group_name_H-M 'P 4/m m m'
_symmetry_Int_Tables_number 123
_symmetry_space_group_name_Hall '-P 4 2'
loop_
_atom_site_label
_atom_site_type_symbol
_atom_site_fract_x
_atom_site_fract_y
_atom_site_fract_z
_atom_site_occupancy
Sc1 Sc 0.000 0.000 0.000 1
Pa1 Pa 0.500 0.500 0.000 1
V1 V 0.000 0.500 0.500 1
```

## Properties
Excess energy over the best structure of this formula in the dataset (meV per atom): 71
Energy of formation (eV/f.u.): 0.99
Uncorrected energy (eV/atom): -8.269

=====

Material: ScPaV2
Method: DFT, PBE
State: optimized geometry

```
data_ScPaV2
_chemical_formula_sum 'Sc1 Pa1 V2'
_cell_length_a 3.334
_cell_length_b 3.334
_cell_length_c 6.728
_cell_angle_alpha 90.00
_cell_angle_beta 90.00
_cell_angle_gamma 90.00
_symmetry_space_group_name_H-M 'P 4/m m m'
_symmetry_Int_Tables_number 123
_symmetry_space_group_name_Hall '-P 4 2'
loop_
_atom_site_label
_atom_site_type_symbol
_atom_site_fract_x
_atom_site_fract_y
_atom_site_fract_z
_atom_site_occupancy
Sc1 Sc 0.000 0.000 0.000 1
Pa1 Pa 0.000 0.000 0.500 1
V1 V 0.500 0.500 0.287 1
```

## Properties
Excess energy over the best structure of this formula in the dataset (meV per atom): 1
Energy of formation (eV/f.u.): 0.71
Uncorrected energy (eV/atom): -8.339

=====

Material: ScPaV
Method: DFT, PBE
State: optimized geometry

```
data_ScPaV
_chemical_formula_sum 'Sc2 Pa2 V2'
_cell_length_a 3.349
_cell_length_b 3.349
_cell_length_c 10.773
_cell_angle_alpha 90.00
_cell_angle_beta 90.00
_cell_angle_gamma 90.00
_symmetry_space_group_name_H-M 'I 4 m m'
_symmetry_Int_Tables_number 107
_symmetry_space_group_name_Hall 'I 4 -2'
loop_
_atom_site_label
_atom_site_type_symbol
_atom_site_fract_x
_atom_site_fract_y
_atom_site_fract_z
_atom_site_occupancy
Sc1 Sc 0.000 0.000 0.000 1
Pa1 Pa 0.000 0.000 0.694 1
V1 V 0.000 0.000 0.325 1
```

## Properties
Excess energy over the best structure of this formula in the dataset (meV per atom): 0
Energy of formation (eV/f.u.): 0.61
Uncorrected energy (eV/atom): -8.112

=====

Material: ScPaV2
Method: DFT, PBE
State: optimized geometry

```
data_ScPaV2
_chemical_formula_sum 'Sc4 Pa4 V8'
_cell_length_a 6.618
_cell_length_b 6.618
_cell_length_c 6.618
_cell_angle_alpha 90.00
_cell_angle_beta 90.00
_cell_angle_gamma 90.00
_symmetry_space_group_name_H-M 'F m -3 m'
_symmetry_Int_Tables_number 225
_symmetry_space_group_name_Hall '-F 4 2 3'
loop_
_atom_site_label
_atom_site_type_symbol
_atom_site_fract_x
_atom_site_fract_y
_atom_site_fract_z
_atom_site_occupancy
Sc1 Sc 0.000 0.000 0.000 1
Pa1 Pa 0.000 0.000 0.500 1
V1 V 0.250 0.250 0.250 1
```

## Properties
Excess energy over the best structure of this formula in the dataset (meV per atom): 0
Energy of formation (eV/f.u.): 0.71
Uncorrected energy (eV/atom): -8.340

=====

Material: ScPaV4
Method: DFT, PBE
State: optimized geometry

```
data_ScPaV4
_chemical_formula_sum 'Sc4 Pa4 V16'
_cell_length_a 7.387
_cell_length_b 7.387
_cell_length_c 7.387
_cell_angle_alpha 90.00
_cell_angle_beta 90.00
_cell_angle_gamma 90.00
_symmetry_space_group_name_H-M 'F -4 3 m'
_symmetry_Int_Tables_number 216
_symmetry_space_group_name_Hall 'F -4 2 3'
loop_
_atom_site_label
_atom_site_type_symbol
_atom_site_fract_x
_atom_site_fract_y
_atom_site_fract_z
_atom_site_occupancy
Sc1 Sc 0.000 0.000 0.000 1
Pa1 Pa 0.250 0.250 0.750 1
V1 V 0.124 0.124 0.376 1
```

## Properties
Energy of formation (eV/f.u.): 0.58
Uncorrected energy (eV/atom): -8.621

=====

Material: ScPaVW
Method: DFT, PBE
State: optimized geometry

```
data_ScPaVW
_chemical_formula_sum 'Sc4 Pa4 V4 W4'
_cell_length_a 6.698
_cell_length_b 6.698
_cell_length_c 6.698
_cell_angle_alpha 90.00
_cell_angle_beta 90.00
_cell_angle_gamma 90.00
_symmetry_space_group_name_H-M 'F -4 3 m'
_symmetry_Int_Tables_number 216
_symmetry_space_group_name_Hall 'F -4 2 3'
loop_
_atom_site_label
_atom_site_type_symbol
_atom_site_fract_x
_atom_site_fract_y
_atom_site_fract_z
_atom_site_occupancy
Sc1 Sc 0.000 0.000 0.000 1
Pa1 Pa 0.000 0.000 0.500 1
V1 V 0.250 0.250 0.250 1
W1 W 0.250 0.250 0.750 1
```

## Properties
Energy of formation (eV/f.u.): 0.76
Uncorrected energy (eV/atom): -9.284

=====

Material: ScPa2W
Method: DFT, PBE
State: optimized geometry

```
data_ScPa2W
_chemical_formula_sum 'Sc3 Pa6 W3'
_cell_length_a 3.0206
_cell_length_b 3.0206
_cell_length_c 33.4695
_cell_angle_alpha 90.00
_cell_angle_beta 90.00
_cell_angle_gamma 120.00
_symmetry_space_group_name_H-M 'R -3 m'
_symmetry_Int_Tables_number 166
_symmetry_space_group_name_Hall '-R 3 2"'
loop_
_atom_site_label
_atom_site_type_symbol
_atom_site_fract_x
_atom_site_fract_y
_atom_site_fract_z
_atom_site_occupancy
Sc1 Sc 0.0000 0.0000 0.0000 1
Pa1 Pa 0.0000 0.0000 0.0889 1
W1 W 0.0000 0.0000 0.5000 1
```

## Properties
Energy of formation (eV/f.u.): 1.64
Uncorrected energy (eV/atom): -9.159

=====

Material: YScPa
Method: DFT, PBE
State: optimized geometry

```
data_YScPa
_chemical_formula_sum 'Y2 Sc2 Pa2'
_cell_length_a 3.312
_cell_length_b 3.312
_cell_length_c 14.767
_cell_angle_alpha 90.00
_cell_angle_beta 90.00
_cell_angle_gamma 90.00
_symmetry_space_group_name_H-M 'I 4 m m'
_symmetry_Int_Tables_number 107
_symmetry_space_group_name_Hall 'I 4 -2'
loop_
_atom_site_label
_atom_site_type_symbol
_atom_site_fract_x
_atom_site_fract_y
_atom_site_fract_z
_atom_site_occupancy
Y1 Y 0.000 0.000 0.000 1
Sc1 Sc 0.000 0.000 0.320 1
Pa1 Pa 0.000 0.000 0.667 1
```

## Properties
Excess energy over the best structure of this formula in the dataset (meV per atom): 0
Energy of formation (eV/f.u.): 0.44
Uncorrected energy (eV/atom): -7.284

=====

Material: Y2ScPa
Method: DFT, PBE
State: optimized geometry

```
data_Y2ScPa
_chemical_formula_sum 'Y2 Sc1 Pa1'
_cell_length_a 3.347
_cell_length_b 3.347
_cell_length_c 10.084
_cell_angle_alpha 90.00
_cell_angle_beta 90.00
_cell_angle_gamma 90.00
_symmetry_space_group_name_H-M 'P 4/m m m'
_symmetry_Int_Tables_number 123
_symmetry_space_group_name_Hall '-P 4 2'
loop_
_atom_site_label
_atom_site_type_symbol
_atom_site_fract_x
_atom_site_fract_y
_atom_site_fract_z
_atom_site_occupancy
Y1 Y 0.000 0.000 0.245 1
Sc1 Sc 0.500 0.500 0.500 1
Pa1 Pa 0.500 0.500 0.000 1
```

## Properties
Excess energy over the best structure of this formula in the dataset (meV per atom): 23
Energy of formation (eV/f.u.): 0.64
Uncorrected energy (eV/atom): -7.029

=====

Material: YSc2Pa
Method: DFT, PBE
State: optimized geometry

```
data_YSc2Pa
_chemical_formula_sum 'Y3 Sc6 Pa3'
_cell_length_a 3.3339
_cell_length_b 3.3339
_cell_length_c 32.6049
_cell_angle_alpha 90.00
_cell_angle_beta 90.00
_cell_angle_gamma 120.00
_symmetry_space_group_name_H-M 'R -3 m'
_symmetry_Int_Tables_number 166
_symmetry_space_group_name_Hall '-R 3 2"'
loop_
_atom_site_label
_atom_site_type_symbol
_atom_site_fract_x
_atom_site_fract_y
_atom_site_fract_z
_atom_site_occupancy
Y1 Y 0.0000 0.0000 0.0000 1
Sc1 Sc 0.0000 0.0000 0.2454 1
Pa1 Pa 0.0000 0.0000 0.5000 1
```

## Properties
Excess energy over the best structure of this formula in the dataset (meV per atom): 7
Energy of formation (eV/f.u.): 0.36
Uncorrected energy (eV/atom): -7.066

=====

Material: YScPa
Method: DFT, PBE
State: optimized geometry

```
data_YScPa
_chemical_formula_sum 'Y1 Sc1 Pa1'
_cell_length_a 5.3709
_cell_length_b 5.3709
_cell_length_c 3.1778
_cell_angle_alpha 90.00
_cell_angle_beta 90.00
_cell_angle_gamma 120.00
_symmetry_space_group_name_H-M 'P -6 m 2'
_symmetry_Int_Tables_number 187
_symmetry_space_group_name_Hall 'P -6 2'
loop_
_atom_site_label
_atom_site_type_symbol
_atom_site_fract_x
_atom_site_fract_y
_atom_site_fract_z
_atom_site_occupancy
Y1 Y 0.0000 0.0000 0.0000 1
Sc1 Sc 0.6667 0.3333 0.5000 1
Pa1 Pa 0.3333 0.6667 0.0000 1
```

## Properties
Excess energy over the best structure of this formula in the dataset (meV per atom): 112
Energy of formation (eV/f.u.): 0.78
Uncorrected energy (eV/atom): -7.172

=====

Material: Y2ScPa
Method: DFT, PBE
State: optimized geometry

```
data_Y2ScPa
_chemical_formula_sum 'Y6 Sc3 Pa3'
_cell_length_a 3.3968
_cell_length_b 3.3968
_cell_length_c 33.7013
_cell_angle_alpha 90.00
_cell_angle_beta 90.00
_cell_angle_gamma 120.00
_symmetry_space_group_name_H-M 'R -3 m'
_symmetry_Int_Tables_number 166
_symmetry_space_group_name_Hall '-R 3 2"'
loop_
_atom_site_label
_atom_site_type_symbol
_atom_site_fract_x
_atom_site_fract_y
_atom_site_fract_z
_atom_site_occupancy
Y1 Y 0.0000 0.0000 0.2492 1
Sc1 Sc 0.0000 0.0000 0.0000 1
Pa1 Pa 0.0000 0.0000 0.5000 1
```

## Properties
Excess energy over the best structure of this formula in the dataset (meV per atom): 0
Energy of formation (eV/f.u.): 0.55
Uncorrected energy (eV/atom): -7.052

=====

Material: YScPa
Method: DFT, PBE
State: optimized geometry

```
data_YScPa
_chemical_formula_sum 'Y2 Sc2 Pa2'
_cell_length_a 3.145
_cell_length_b 5.395
_cell_length_c 9.635
_cell_angle_alpha 90.00
_cell_angle_beta 90.00
_cell_angle_gamma 90.00
_symmetry_space_group_name_H-M 'P m m n'
_symmetry_Int_Tables_number 59
loop_
_symmetry_equiv_pos_as_xyz
'x,y,z'
'-x,-y,-z'
'-x+1/2,-y+1/2,z'
'x+1/2,y+1/2,-z'
'x+1/2,-y,-z'
'-x+1/2,y,z'
'-x,y+1/2,-z'
'x,-y+1/2,z'
loop_
_atom_site_label
_atom_site_type_symbol
_atom_site_fract_x
_atom_site_fract_y
_atom_site_fract_z
_atom_site_occupancy
Y1 Y 0.250 0.250 0.075 1
Sc1 Sc 0.250 0.750 0.264 1
Pa1 Pa 0.250 0.250 0.443 1
```

## Properties
Excess energy over the best structure of this formula in the dataset (meV per atom): 128
Energy of formation (eV/f.u.): 0.82
Uncorrected energy (eV/atom): -7.156

=====

Material: YSc2Pa
Method: DFT, PBE
State: optimized geometry

```
data_YSc2Pa
_chemical_formula_sum 'Y1 Sc2 Pa1'
_cell_length_a 3.342
_cell_length_b 3.342
_cell_length_c 9.454
_cell_angle_alpha 90.00
_cell_angle_beta 90.00
_cell_angle_gamma 90.00
_symmetry_space_group_name_H-M 'P 4/m m m'
_symmetry_Int_Tables_number 123
_symmetry_space_group_name_Hall '-P 4 2'
loop_
_atom_site_label
_atom_site_type_symbol
_atom_site_fract_x
_atom_site_fract_y
_atom_site_fract_z
_atom_site_occupancy
Y1 Y 0.000 0.000 0.000 1
Sc1 Sc 0.500 0.500 0.269 1
Pa1 Pa 0.000 0.000 0.500 1
```

## Properties
Excess energy over the best structure of this formula in the dataset (meV per atom): 24
Energy of formation (eV/f.u.): 0.42
Uncorrected energy (eV/atom): -7.050

=====

Material: YSc2Pa
Method: DFT, PBE
State: optimized geometry

```
data_YSc2Pa
_chemical_formula_sum 'Y3 Sc6 Pa3'
_cell_length_a 3.2975
_cell_length_b 3.2975
_cell_length_c 33.1086
_cell_angle_alpha 90.00
_cell_angle_beta 90.00
_cell_angle_gamma 120.00
_symmetry_space_group_name_H-M 'R 3 m'
_symmetry_Int_Tables_number 160
_symmetry_space_group_name_Hall 'R 3 -2"'
loop_
_atom_site_label
_atom_site_type_symbol
_atom_site_fract_x
_atom_site_fract_y
_atom_site_fract_z
_atom_site_occupancy
Y1 Y 0.0000 0.0000 0.0000 1
Sc1 Sc 0.0000 0.0000 0.4204 1
Sc2 Sc 0.0000 0.0000 0.5808 1
Pa1 Pa 0.0000 0.0000 0.8341 1
```

## Properties
Excess energy over the best structure of this formula in the dataset (meV per atom): 0
Energy of formation (eV/f.u.): 0.33
Uncorrected energy (eV/atom): -7.074

=====

Material: YSc2Pa
Method: DFT, PBE
State: optimized geometry

```
data_YSc2Pa
_chemical_formula_sum 'Y1 Sc2 Pa1'
_cell_length_a 4.742
_cell_length_b 4.742
_cell_length_c 4.641
_cell_angle_alpha 90.00
_cell_angle_beta 90.00
_cell_angle_gamma 90.00
_symmetry_space_group_name_H-M 'P 4/m m m'
_symmetry_Int_Tables_number 123
_symmetry_space_group_name_Hall '-P 4 2'
loop_
_atom_site_label
_atom_site_type_symbol
_atom_site_fract_x
_atom_site_fract_y
_atom_site_fract_z
_atom_site_occupancy
Y1 Y 0.000 0.000 0.000 1
Sc1 Sc 0.000 0.500 0.500 1
Pa1 Pa 0.500 0.500 0.000 1
```

## Properties
Excess energy over the best structure of this formula in the dataset (meV per atom): 97
Energy of formation (eV/f.u.): 0.72
Uncorrected energy (eV/atom): -6.977

=====

Material: ScPaZn4
Method: DFT, PBE
State: optimized geometry

```
data_ScPaZn4
_chemical_formula_sum 'Sc1 Pa1 Zn4'
_cell_length_a 3.148
_cell_length_b 4.494
_cell_length_c 7.826
_cell_angle_alpha 90.00
_cell_angle_beta 90.00
_cell_angle_gamma 90.00
_symmetry_space_group_name_H-M 'P m m m'
_symmetry_Int_Tables_number 47
loop_
_symmetry_equiv_pos_as_xyz
'x,y,z'
'-x,-y,-z'
'-x,-y,z'
'x,y,-z'
'x,-y,-z'
'-x,y,z'
'-x,y,-z'
'x,-y,z'
loop_
_atom_site_label
_atom_site_type_symbol
_atom_site_fract_x
_atom_site_fract_y
_atom_site_fract_z
_atom_site_occupancy
Sc1 Sc 0.000 0.000 0.000 1
Pa1 Pa 0.000 0.500 0.500 1
Zn1 Zn 0.500 0.000 0.322 1
Zn2 Zn 0.500 0.500 0.159 1
```

## Properties
Excess energy over the best structure of this formula in the dataset (meV per atom): 0
Energy of formation (eV/f.u.): -1.25
Uncorrected energy (eV/atom): -3.695